A plane-wave DFT calculation with PBE was carried out for a relaxed RbZr2NpO8 crystal.

Summary:
ΔE_f (raw)	-2.725	eV/atom

Unit cell a=8.729 b=6.628 c=7.722 alpha=90.00 beta=104.37 gamma=90.00
Space group C2/m (No. 12)
Asymmetric unit:
1 Rb 0.000 0.000 0.000 (multiplicity 2)
2 Zr 0.045 0.500 0.210 (multiplicity 4)
3 Np 0.000 0.000 0.500 (multiplicity 2)
4 O 0.009 0.225 0.311 (multiplicity 8)
5 O 0.150 0.500 0.006 (multiplicity 4)
6 O 0.224 0.000 0.582 (multiplicity 4)